Record 1
A plane-wave DFT calculation with GGA-PBE was carried out for a relaxed structure of LaPrBe.

Calculated values
The formation enthalpy at 0 K is 0.16 eV/atom. The density of states at the Fermi level comes out at 3.60 states/eV/cell. The value obtained for the mass density is 5.8 g/cm³.

abc: 6.653 6.653 6.653
angles: 147.89 147.89 46.04
Fractional positions:
La 0.000 0.000 0.000
Pr 0.269 0.269 0.000
Be 0.638 0.638 0.000

---

Record 2
A plane-wave DFT calculation with GGA-PBE was carried out for a relaxed structure of LaPr2Be.

Calculated values
The energy above the most stable polymorph in this dataset comes out at 0.580 eV/atom. The formation enthalpy at 0 K is 0.70 eV/atom. The density of states at the Fermi level comes out at 4.78 states/eV/cell. The value obtained for the mass density is 5.4 g/cm³.

abc: 12.010 12.010 12.010
angles: 17.13 17.13 17.13
Fractional positions:
La 0.000 0.000 0.000
Pr 0.417 0.417 0.417
Pr 0.583 0.583 0.583
Be 0.500 0.500 0.500

---

Record 3
A plane-wave DFT calculation with GGA-PBE was carried out for a relaxed structure of La2PrBe.

Calculated values
The formation enthalpy at 0 K is 0.11 eV/atom. The density of states at the Fermi level comes out at 5.29 states/eV/cell. The value obtained for the mass density is 5.9 g/cm³.

abc: 3.683 3.683 8.824
angles: 90.00 90.00 90.00
Fractional positions:
La 0.000 0.000 0.188
La 0.000 0.000 0.812
Pr 0.500 0.500 0.500
Be 0.500 0.500 0.000

---

Record 4
A plane-wave DFT calculation with GGA-PBE was carried out for a relaxed structure of LaBePt3.

Calculated values
The energy above the most stable polymorph in this dataset comes out at 0.700 eV/atom. The formation enthalpy at 0 K is -0.25 eV/atom. The density of states at the Fermi level comes out at 1.67 states/eV/cell. The value obtained for the mass density is 9.9 g/cm³.

abc: 3.605 6.898 6.898
angles: 45.87 90.00 90.00
Fractional positions:
La 0.000 0.000 0.000
Be 0.500 0.655 0.655
Pt 0.000 0.446 0.948
Pt 0.000 0.948 0.446
Pt 0.500 0.839 0.839

---

Record 5
A plane-wave DFT calculation with GGA-PBE was carried out for a relaxed structure of LaBePt3.

Calculated values
The energy above the most stable polymorph in this dataset comes out at 0.685 eV/atom. The formation enthalpy at 0 K is -0.27 eV/atom. The density of states at the Fermi level comes out at 6.59 states/eV/cell. The value obtained for the mass density is 11.8 g/cm³.

abc: 3.892 3.892 15.785
angles: 90.00 90.00 120.00
Fractional positions:
La 0.000 0.000 0.000
La 0.000 0.000 0.500
Be 0.333 0.667 0.250
Be 0.667 0.333 0.750
Pt 0.000 0.000 0.250
Pt 0.000 0.000 0.750
Pt 0.333 0.667 0.115
Pt 0.333 0.667 0.385
Pt 0.667 0.333 0.615
Pt 0.667 0.333 0.885

---

Record 6
A plane-wave DFT calculation with GGA-PBE was carried out for a relaxed structure of LaBePt3.

Calculated values
The energy above the most stable polymorph in this dataset comes out at 0.077 eV/atom. The formation enthalpy at 0 K is -0.87 eV/atom. The density of states at the Fermi level comes out at 1.40 states/eV/cell. The value obtained for the mass density is 13.5 g/cm³.

abc: 4.534 4.534 4.534
angles: 81.48 81.48 81.48
Fractional positions:
La 0.000 0.000 0.000
Be 0.500 0.500 0.500
Pt 0.000 0.500 0.500
Pt 0.500 0.000 0.500
Pt 0.500 0.500 0.000

---

Record 7
A plane-wave DFT calculation with GGA-PBE was carried out for a relaxed structure of LaBePt3.

Calculated values
The energy above the most stable polymorph in this dataset comes out at 0.047 eV/atom. The formation enthalpy at 0 K is -0.90 eV/atom. The density of states at the Fermi level comes out at 2.74 states/eV/cell. The value obtained for the mass density is 13.8 g/cm³.

abc: 6.566 6.566 5.825
angles: 114.20 114.20 52.09
Fractional positions:
La 0.152 0.152 0.023
La 0.848 0.848 0.977
Be 0.303 0.303 0.691
Be 0.697 0.697 0.309
Pt 0.116 0.634 0.484
Pt 0.366 0.884 0.516
Pt 0.432 0.432 0.129
Pt 0.568 0.568 0.871
Pt 0.634 0.116 0.484
Pt 0.884 0.366 0.516

---

Record 8
A plane-wave DFT calculation with GGA-PBE was carried out for a relaxed structure of LaBePt3.

Calculated values
The energy above the most stable polymorph in this dataset comes out at 0.501 eV/atom. The formation enthalpy at 0 K is -0.45 eV/atom. The density of states at the Fermi level comes out at 5.88 states/eV/cell. The value obtained for the mass density is 13.0 g/cm³.

abc: 5.747 5.747 5.747
angles: 84.07 84.07 84.07
Fractional positions:
La 0.000 0.000 0.000
La 0.500 0.500 0.500
Be 0.250 0.250 0.250
Be 0.750 0.750 0.750
Pt 0.024 0.750 0.476
Pt 0.250 0.524 0.976
Pt 0.476 0.024 0.750
Pt 0.524 0.976 0.250
Pt 0.750 0.476 0.024
Pt 0.976 0.250 0.524

---

Record 9
A plane-wave DFT calculation with GGA-PBE was carried out for a relaxed structure of LaBePt3.

Calculated values
The energy above the most stable polymorph in this dataset comes out at 1.145 eV/atom. The formation enthalpy at 0 K is 0.19 eV/atom. The density of states at the Fermi level comes out at 10.05 states/eV/cell. The value obtained for the mass density is 8.5 g/cm³.

abc: 11.522 11.522 11.522
angles: 154.34 154.34 36.61
Fractional positions:
La 0.000 0.000 0.000
La 0.750 0.250 0.500
Be 0.200 0.700 0.500
Be 0.300 0.800 0.500
Pt 0.217 0.217 0.000
Pt 0.368 0.111 0.257
Pt 0.783 0.783 0.000
Pt 0.854 0.111 0.743
Pt 0.889 0.146 0.257
Pt 0.889 0.632 0.743

---

Record 10
A plane-wave DFT calculation with GGA-PBE was carried out for a relaxed structure of LaBePt2.

Calculated values
The formation enthalpy at 0 K is -0.90 eV/atom. The density of states at the Fermi level comes out at 1.30 states/eV/cell. The value obtained for the mass density is 11.5 g/cm³.

abc: 4.116 4.116 5.789
angles: 110.75 110.75 59.96
Fractional positions:
La 0.000 0.000 0.000
Be 0.500 0.500 0.500
Pt 0.210 0.210 0.631
Pt 0.790 0.790 0.369

---

Record 11
A plane-wave DFT calculation with GGA-PBE was carried out for a relaxed structure of La2BePt6.

Calculated values
The formation enthalpy at 0 K is -0.96 eV/atom. The density of states at the Fermi level comes out at 2.13 states/eV/cell. The value obtained for the mass density is 14.8 g/cm³.

abc: 5.958 5.958 6.163
angles: 116.50 116.50 61.09
Fractional positions:
La 0.247 0.247 0.226
La 0.753 0.753 0.774
Be 0.500 0.500 0.000
Pt 0.230 0.751 0.724
Pt 0.238 0.238 0.718
Pt 0.249 0.770 0.276
Pt 0.751 0.230 0.724
Pt 0.762 0.762 0.282
Pt 0.770 0.249 0.276

---

Record 12
A plane-wave DFT calculation with GGA-PBE was carried out for a relaxed structure of LaBePt2.

Calculated values
The formation enthalpy at 0 K is -0.64 eV/atom. The density of states at the Fermi level comes out at 1.59 states/eV/cell. The value obtained for the mass density is 11.9 g/cm³.

abc: 3.369 3.489 6.545
angles: 90.00 103.35 90.00
Fractional positions:
La 0.000 0.000 0.000
Be 0.000 0.000 0.500
Pt 0.365 0.500 0.682
Pt 0.635 0.500 0.318

---

Which of these has the lowest formation enthalpy at 0 K?
La2BePt6

---

The lowest mass density belongs to which entry?
LaPr2Be